A plane-wave DFT calculation with GGA-PBE was carried out for a relaxed structure of Pr2Zn3InCu4.

Cell lengths 4.139, 4.139, 11.117 Å; angles 90.00, 90.00, 90.00 degrees
Fractional coordinates of all 10 atoms:
Pr1 0.000 0.500 0.238
Pr2 0.500 0.000 0.762
Zn1 0.000 0.500 0.875
Zn2 0.500 0.000 0.125
Zn3 0.500 0.500 0.500
In1 0.000 0.000 0.500
Cu1 0.000 0.000 0.000
Cu2 0.000 0.500 0.651
Cu3 0.500 0.000 0.349
Cu4 0.500 0.500 0.000

## Properties
- ρ: 7.385 g/cm3
- Energy of formation from the pure elements: -228 meV/atom
- Electronic total energy: -3.478 eV/atom



A plane-wave DFT calculation with GGA-PBE was carried out for a relaxed structure of InCu3Pt.

Cell lengths 4.669, 4.669, 4.669 Å; angles 90.00, 90.00, 90.00 degrees
Fractional coordinates of all 5 atoms:
In1 0.000 0.000 0.000
Cu1 0.000 0.000 0.500
Cu2 0.000 0.500 0.000
Cu3 0.500 0.000 0.000
Pt1 0.500 0.500 0.500

## Properties
- ρ: 8.168 g/cm3
- Distance to the lowest polymorph of the same formula: 0.579 eV/atom
- Energy of formation from the pure elements: 1164 meV/atom
- Electronic total energy: -3.049 eV/atom



A plane-wave DFT calculation with GGA-PBE was carried out for a relaxed structure of InCuPt.

Cell lengths 3.904, 3.904, 6.814 Å; angles 90.00, 90.00, 90.00 degrees
Fractional coordinates of all 6 atoms:
In1 0.250 0.250 0.167
In2 0.750 0.750 0.833
Cu1 0.250 0.750 0.500
Cu2 0.750 0.250 0.500
Pt1 0.250 0.250 0.759
Pt2 0.750 0.750 0.241

## Properties
- ρ: 11.943 g/cm3
- Distance to the lowest polymorph of the same formula: 0.000 eV/atom
- Energy of formation from the pure elements: -276 meV/atom
- Electronic total energy: -4.568 eV/atom



A plane-wave DFT calculation with GGA-PBE was carried out for a relaxed structure of InCu3Pt.

Cell lengths 4.739, 4.739, 4.739 Å; angles 90.00, 90.00, 90.00 degrees
Fractional coordinates of all 5 atoms:
In1 0.000 0.000 0.000
Cu1 0.000 0.500 0.500
Cu2 0.500 0.000 0.500
Cu3 0.500 0.500 0.000
Pt1 0.500 0.500 0.500

## Properties
- ρ: 7.809 g/cm3
- Distance to the lowest polymorph of the same formula: 0.000 eV/atom
- Energy of formation from the pure elements: 585 meV/atom
- Electronic total energy: -3.629 eV/atom



Q: Look up the energy of formation from the pure elements of the second one.
A: 1164 meV/atom